Entry 1:
PrHoZn2 at its PBEsol-relaxed geometry. Source: Alexandria, functional meta-GGA SCAN.

a b c (Å): 5.0386 5.0386 5.0386
angles (deg): 60.00 60.00 60.00
Fractional coordinates of all 4 atoms:
1 Pr 0.0000 0.0000 0.0000
2 Ho 0.5000 0.5000 0.5000
3 Zn 0.2500 0.2500 0.2500
4 Zn 0.7500 0.7500 0.7500

Values from the calculation:
The value obtained for the final energy is -30.209 eV/atom. The space-group type is Fm-3m. The energy of formation from the pure elements comes out at -0.3731 eV per atom.

=====

Entry 2:
Bi2Mo3O12 at its PBEsol-relaxed geometry. Source: Alexandria, functional meta-GGA SCAN.

a b c (Å): 7.6853 11.3062 11.8294
angles (deg): 90.00 114.56 90.00
Fractional coordinates of all 68 atoms:
1 Bi 0.0920 0.1283 0.4237
2 Bi 0.0920 0.3717 0.9237
3 Bi 0.2621 0.6307 0.7611
4 Bi 0.2621 0.8693 0.2611
5 Bi 0.7379 0.1307 0.7389
6 Bi 0.7379 0.3693 0.2389
7 Bi 0.9080 0.6283 0.0763
8 Bi 0.9080 0.8717 0.5763
9 Mo 0.0483 0.6138 0.4194
10 Mo 0.0483 0.8862 0.9194
11 Mo 0.2578 0.1324 0.7957
12 Mo 0.2578 0.3676 0.2957
13 Mo 0.4234 0.6513 0.1057
14 Mo 0.4234 0.8487 0.6057
15 Mo 0.5766 0.1513 0.3943
16 Mo 0.5766 0.3487 0.8943
17 Mo 0.7422 0.6324 0.7043
18 Mo 0.7422 0.8676 0.2043
19 Mo 0.9517 0.1138 0.0806
20 Mo 0.9517 0.3862 0.5806
21 O 0.0438 0.2084 0.7987
22 O 0.0438 0.2916 0.2987
23 O 0.0611 0.0508 0.2390
24 O 0.0611 0.4492 0.7390
25 O 0.1235 0.2117 0.0762
26 O 0.1235 0.2883 0.5762
27 O 0.1410 0.5465 0.5761
28 O 0.1410 0.9535 0.0761
29 O 0.1505 0.0578 0.6525
30 O 0.1505 0.4422 0.1525
31 O 0.2213 0.6951 0.1472
32 O 0.2213 0.8049 0.6472
33 O 0.2356 0.7073 0.4317
34 O 0.2356 0.7927 0.9317
35 O 0.2975 0.5585 0.9757
36 O 0.2975 0.9415 0.4757
37 O 0.3042 0.0260 0.9056
38 O 0.3042 0.4740 0.4056
39 O 0.3754 0.2103 0.4291
40 O 0.3754 0.2897 0.9291
41 O 0.4571 0.0485 0.2821
42 O 0.4571 0.4515 0.7821
43 O 0.4846 0.1868 0.7917
44 O 0.4846 0.3132 0.2917
45 O 0.5154 0.6868 0.7083
46 O 0.5154 0.8132 0.2083
47 O 0.5429 0.5485 0.2179
48 O 0.5429 0.9515 0.7179
49 O 0.6246 0.7103 0.0709
50 O 0.6246 0.7897 0.5709
51 O 0.6958 0.5260 0.5944
52 O 0.6958 0.9740 0.0944
53 O 0.7025 0.0585 0.5243
54 O 0.7025 0.4415 0.0243
55 O 0.7644 0.2073 0.0683
56 O 0.7644 0.2927 0.5683
57 O 0.7787 0.1951 0.3528
58 O 0.7787 0.3049 0.8528
59 O 0.8495 0.5578 0.8475
60 O 0.8495 0.9422 0.3475
61 O 0.8590 0.0465 0.9239
62 O 0.8590 0.4535 0.4239
63 O 0.8765 0.7117 0.4238
64 O 0.8765 0.7883 0.9238
65 O 0.9389 0.5508 0.2610
66 O 0.9389 0.9492 0.7610
67 O 0.9562 0.7084 0.7013
68 O 0.9562 0.7916 0.2013

Values from the calculation:
The value obtained for the final energy is -21.670 eV/atom. The space-group type is P2_1/c.

=====

Entry 3:
Hg3Au at its PBEsol-relaxed geometry. Source: Alexandria, functional meta-GGA SCAN.

a b c (Å): 6.8116 6.8116 4.9527
angles (deg): 110.94 110.94 24.50
Fractional coordinates of all 4 atoms:
1 Hg 0.0000 0.0000 0.0000
2 Hg 0.2083 0.2083 0.7089
3 Hg 0.7917 0.7917 0.2911
4 Au 0.5000 0.5000 0.5000

Values from the calculation:
The value obtained for the final energy is -68.357 eV/atom. For the offset from the most stable computed form, the calculation gives 2.2 kJ per mole of atoms. The space-group type is C2/m. The energy of formation from the pure elements comes out at 0.0570 eV per atom.

=====

What is the formula in the second record?
Bi2Mo3O12

=====

The lowest final energy belongs to which entry?
Hg3Au